# CeTmThCd

A relaxed CeTmThCd crystal (PBE-GGA, Alexandria).

Properties
electronic total energy	-4.59	eV/atom
space group	F-43m

```
CeTmThCd
1.0
-4.824 -1.484 -2.000
-2.999 -3.697 2.609
-4.564 1.500 2.527
Tm Ce Th Cd
1 1 1 1
direct
0.750 0.750 0.750 Tm
0.250 0.250 0.250 Ce
0.500 0.500 0.500 Th
0.000 0.000 0.000 Cd
```